1.
Below is a relaxed structure of KDyCdF6, with properties calculated at the PBE level.

Cell: 6.081 6.081 10.687 Å, 90.00 90.00 120.00°
Positions (direct):
K1 0.000 0.000 0.000
K2 0.000 0.000 0.500
Dy1 0.667 0.333 0.250
Dy2 0.333 0.667 0.750
Cd1 0.333 0.667 0.250
Cd2 0.667 0.333 0.750
F1 0.634 0.624 0.143
F2 0.991 0.366 0.143
F3 0.366 0.991 0.643
F4 0.009 0.634 0.857
F5 0.376 0.366 0.357
F6 0.991 0.624 0.357
F7 0.624 0.991 0.857
F8 0.634 0.009 0.357
F9 0.009 0.376 0.643
F10 0.376 0.009 0.143
F11 0.624 0.634 0.643
F12 0.366 0.376 0.857

Output
As for the space group: P-31c. For the uncorrected formation energy, the calculation gives -3.18 eV per atom.


2.
Below is a relaxed structure of K2DyCdF6, with properties calculated at the PBE level.

Cell: 6.581 6.580 6.580 Å, 60.00 60.00 90.00°
Positions (direct):
K1 0.250 0.750 0.500
K2 0.750 0.250 0.500
Dy1 0.000 0.000 0.000
Cd1 0.500 0.500 0.000
F1 0.234 0.766 0.000
F2 0.766 0.766 0.000
F3 0.234 0.234 0.531
F4 0.766 0.234 0.000
F5 0.234 0.234 0.000
F6 0.766 0.766 0.469

Output
As for the space group: Fm-3m. For the uncorrected formation energy, the calculation gives -2.93 eV per atom.


3.
Below is a relaxed structure of LiDyCdF6, with properties calculated at the PBE level.

Cell: 5.075 5.075 10.234 Å, 90.00 90.00 90.00°
Positions (direct):
Li1 0.500 0.500 0.497
Li2 0.000 0.000 0.997
Dy1 0.500 0.500 0.835
Dy2 0.000 0.000 0.335
Cd1 0.500 0.500 0.167
Cd2 0.000 0.000 0.667
F1 0.205 0.795 0.495
F2 0.795 0.205 0.495
F3 0.295 0.295 0.995
F4 0.705 0.705 0.995
F5 0.189 0.811 0.165
F6 0.811 0.189 0.165
F7 0.311 0.311 0.665
F8 0.689 0.689 0.665
F9 0.805 0.195 0.841
F10 0.195 0.805 0.841
F11 0.695 0.695 0.341
F12 0.305 0.305 0.341

Output
As for the space group: P4_2nm. For the uncorrected formation energy, the calculation gives -3.19 eV per atom.


4.
Below is a relaxed structure of NaDyCdF6, with properties calculated at the PBE level.

Cell: 5.225 5.225 10.630 Å, 90.00 90.00 90.00°
Positions (direct):
Na1 0.500 0.500 0.499
Na2 0.000 0.000 0.999
Dy1 0.500 0.500 0.833
Dy2 0.000 0.000 0.333
Cd1 0.500 0.500 0.167
Cd2 0.000 0.000 0.667
F1 0.188 0.812 0.495
F2 0.812 0.188 0.495
F3 0.312 0.312 0.995
F4 0.688 0.688 0.995
F5 0.196 0.804 0.178
F6 0.804 0.196 0.178
F7 0.304 0.304 0.678
F8 0.696 0.696 0.678
F9 0.797 0.203 0.828
F10 0.203 0.797 0.828
F11 0.703 0.703 0.328
F12 0.297 0.297 0.328

Output
As for the space group: P4_2nm. For the uncorrected formation energy, the calculation gives -3.18 eV per atom.


5.
Below is a relaxed structure of RbDyCd2F8, with properties calculated at the PBE level.

Cell: 4.072 6.006 8.335 Å, 82.90 86.91 79.05°
Positions (direct):
Rb1 0.000 0.000 0.500
Dy1 0.000 0.000 0.000
Cd1 0.399 0.451 0.720
Cd2 0.601 0.549 0.280
F1 0.057 0.738 0.235
F2 0.558 0.796 0.046
F3 0.896 0.237 0.187
F4 0.943 0.262 0.765
F5 0.442 0.204 0.954
F6 0.104 0.763 0.813
F7 0.599 0.689 0.524
F8 0.401 0.311 0.476

Output
As for the space group: P-1. For the uncorrected formation energy, the calculation gives -2.91 eV per atom.


6.
Below is a relaxed structure of Rb2DyCd3F12, with properties calculated at the PBE level.

Cell: 8.227 8.227 8.227 Å, 57.95 57.95 57.95°
Positions (direct):
Rb1 0.601 0.601 0.601
Rb2 0.399 0.399 0.399
Dy1 0.000 0.000 0.000
Cd1 0.500 0.000 0.000
Cd2 0.000 0.500 0.000
Cd3 0.000 0.000 0.500
F1 0.330 0.330 0.908
F2 0.928 0.928 0.322
F3 0.322 0.928 0.928
F4 0.908 0.330 0.330
F5 0.928 0.322 0.928
F6 0.330 0.908 0.330
F7 0.670 0.670 0.092
F8 0.072 0.072 0.678
F9 0.678 0.072 0.072
F10 0.092 0.670 0.670
F11 0.072 0.678 0.072
F12 0.670 0.092 0.670

Output
As for the space group: R-3m. For the uncorrected formation energy, the calculation gives -2.61 eV per atom.


7.
Below is a relaxed structure of DyTl2Cd3F12, with properties calculated at the PBE level.

Cell: 8.273 8.273 8.273 Å, 56.03 56.03 56.03°
Positions (direct):
Dy1 0.000 0.000 0.000
Tl1 0.580 0.580 0.580
Tl2 0.420 0.420 0.420
Cd1 0.500 0.000 0.000
Cd2 0.000 0.500 0.000
Cd3 0.000 0.000 0.500
F1 0.357 0.357 0.886
F2 0.936 0.936 0.319
F3 0.319 0.936 0.936
F4 0.886 0.357 0.357
F5 0.936 0.319 0.936
F6 0.357 0.886 0.357
F7 0.643 0.643 0.114
F8 0.064 0.064 0.681
F9 0.681 0.064 0.064
F10 0.114 0.643 0.643
F11 0.064 0.681 0.064
F12 0.643 0.114 0.643

Output
As for the space group: R-3m. For the uncorrected formation energy, the calculation gives -2.36 eV per atom.


8.
Below is a relaxed structure of Dy3CdFe, with properties calculated at the PBE level.

Cell: 8.167 8.167 8.646 Å, 91.85 91.85 26.42°
Positions (direct):
Dy1 0.559 0.559 0.226
Dy2 0.902 0.902 0.439
Dy3 0.098 0.098 0.561
Dy4 0.441 0.441 0.774
Dy5 0.746 0.746 0.796
Dy6 0.254 0.254 0.204
Cd1 0.905 0.905 0.067
Cd2 0.095 0.095 0.933
Fe1 0.726 0.726 0.462
Fe2 0.274 0.274 0.538

Output
As for the space group: C2/m. The energy of formation from the pure elements comes out at -0.112 eV per atom.


9.
Below is a relaxed structure of Dy2CdFe, with properties calculated at the PBE level.

Cell: 3.436 3.436 7.685 Å, 90.00 90.00 90.00°
Positions (direct):
Cd1 0.500 0.500 0.500
Fe1 0.500 0.500 0.000
Dy1 0.000 0.000 0.789
Dy2 0.000 0.000 0.211

Output
As for the space group: P4/mmm. The energy of formation from the pure elements comes out at -0.116 eV per atom.


10.
Below is a relaxed structure of Dy2CdFe, with properties calculated at the PBE level.

Cell: 5.061 5.061 5.061 Å, 60.00 60.00 60.00°
Positions (direct):
Cd1 0.000 0.000 0.000
Fe1 0.500 0.500 0.500
Dy1 0.250 0.250 0.250
Dy2 0.750 0.750 0.750

Output
As for the space group: Fm-3m. The energy of formation from the pure elements comes out at -0.008 eV per atom.


11.
Below is a relaxed structure of Dy3CdFe, with properties calculated at the PBE level.

Cell: 5.145 5.145 5.145 Å, 90.00 90.00 90.00°
Positions (direct):
Cd1 0.500 0.500 0.500
Fe1 0.000 0.000 0.000
Dy1 0.000 0.500 0.000
Dy2 0.000 0.000 0.500
Dy3 0.500 0.000 0.000

Output
As for the space group: Pm-3m. The energy of formation from the pure elements comes out at 0.015 eV per atom.


12.
Below is a relaxed structure of Dy5Cd2Fe2, with properties calculated at the PBE level.

Cell: 7.163 7.278 9.196 Å, 90.00 67.08 90.00°
Positions (direct):
Dy1 0.000 0.000 0.000
Dy2 0.500 0.500 0.000
Dy3 0.434 0.185 0.760
Dy4 0.806 0.815 0.760
Dy5 0.306 0.685 0.760
Dy6 0.934 0.315 0.760
Dy7 0.566 0.815 0.240
Dy8 0.194 0.185 0.240
Dy9 0.694 0.315 0.240
Dy10 0.066 0.685 0.240
Cd1 0.228 0.000 0.545
Cd2 0.728 0.500 0.545
Cd3 0.772 0.000 0.455
Cd4 0.272 0.500 0.455
Fe1 0.103 0.392 0.000
Fe2 0.897 0.608 0.000
Fe3 0.397 0.892 0.000
Fe4 0.603 0.108 0.000

Output
As for the space group: Cmce. The energy of formation from the pure elements comes out at -0.113 eV per atom.


13.
Below is a relaxed structure of Dy6CdFe2, with properties calculated at the PBE level.

Cell: 8.391 8.391 8.391 Å, 107.01 109.68 111.76°
Positions (direct):
Dy1 0.521 0.709 0.812
Dy2 0.479 0.291 0.188
Dy3 0.104 0.291 0.812
Dy4 0.896 0.709 0.188
Dy5 0.785 0.774 0.560
Dy6 0.215 0.226 0.440
Dy7 0.215 0.774 0.989
Dy8 0.785 0.226 0.011
Dy9 0.704 0.392 0.688
Dy10 0.296 0.608 0.312
Dy11 0.296 0.984 0.688
Dy12 0.704 0.016 0.312
Cd1 0.000 0.500 0.500
Cd2 0.000 0.000 0.000
Fe1 0.500 0.391 0.891
Fe2 0.500 0.609 0.109
Fe3 0.614 0.000 0.614
Fe4 0.386 0.000 0.386

Output
As for the space group: Immm. The energy of formation from the pure elements comes out at -0.101 eV per atom.


14.
Below is a relaxed structure of DyCdFe, with properties calculated at the PBE level.

Cell: 3.820 5.071 6.901 Å, 102.56 106.07 90.00°
Positions (direct):
Fe1 0.767 0.095 0.535
Fe2 0.233 0.905 0.465
Cd1 0.571 0.786 0.142
Cd2 0.429 0.214 0.858
Dy1 0.863 0.670 0.725
Dy2 0.137 0.330 0.275

Output
As for the space group: C2/m. The energy of formation from the pure elements comes out at -0.069 eV per atom.


15.
Below is a relaxed structure of Dy2CdFe, with properties calculated at the PBE level.

Cell: 3.595 3.595 10.120 Å, 79.77 79.77 60.00°
Positions (direct):
Cd1 0.000 0.000 0.000
Fe1 0.500 0.500 0.500
Dy1 0.111 0.111 0.668
Dy2 0.889 0.889 0.332

Output
As for the space group: R-3m. The energy of formation from the pure elements comes out at 0.275 eV per atom.


16.
Below is a relaxed structure of TbDyCdFe, with properties calculated at the PBE level.

Cell: 5.073 5.073 5.073 Å, 60.00 60.00 60.00°
Positions (direct):
Cd1 0.250 0.250 0.250
Tb1 0.500 0.500 0.500
Fe1 0.750 0.750 0.750
Dy1 0.000 0.000 0.000

Output
As for the space group: F-43m. The energy of formation from the pure elements comes out at -0.005 eV per atom.


17.
Below is a relaxed structure of DyYCdFe, with properties calculated at the PBE level.

Cell: 5.072 5.072 5.072 Å, 60.00 60.00 60.00°
Positions (direct):
Y1 0.000 0.000 0.000
Cd1 0.250 0.250 0.250
Fe1 0.750 0.750 0.750
Dy1 0.500 0.500 0.500

Output
As for the space group: F-43m. The energy of formation from the pure elements comes out at -0.009 eV per atom.


18.
Below is a relaxed structure of Dy6Cd2Ga, with properties calculated at the PBE level.

Cell: 8.689 8.689 8.689 Å, 112.06 109.63 106.77°
Positions (direct):
Dy1 0.569 0.744 0.826
Dy2 0.431 0.256 0.174
Dy3 0.082 0.256 0.826
Dy4 0.918 0.744 0.174
Dy5 0.808 0.741 0.548
Dy6 0.192 0.259 0.452
Dy7 0.192 0.741 0.933
Dy8 0.808 0.259 0.067
Dy9 0.738 0.409 0.671
Dy10 0.262 0.591 0.329
Dy11 0.262 0.933 0.671
Dy12 0.738 0.067 0.329
Cd1 0.500 0.358 0.858
Cd2 0.500 0.642 0.142
Cd3 0.641 0.000 0.641
Cd4 0.359 0.000 0.359
Ga1 0.000 0.500 0.500
Ga2 0.000 0.000 0.000

Output
As for the space group: Immm. The energy of formation from the pure elements comes out at -0.207 eV per atom.


19.
Below is a relaxed structure of Dy8CdGa2, with properties calculated at the PBE level.

Cell: 4.981 7.130 9.227 Å, 103.17 105.66 90.00°
Positions (direct):
Dy1 0.407 0.536 0.814
Dy2 0.668 0.952 0.336
Dy3 0.805 0.699 0.610
Dy4 0.969 0.249 0.939
Dy5 0.195 0.301 0.390
Dy6 0.332 0.048 0.664
Dy7 0.593 0.464 0.186
Dy8 0.031 0.751 0.061
Cd1 0.500 0.000 0.000
Ga1 0.803 0.282 0.606
Ga2 0.197 0.718 0.394

Output
As for the space group: C2/m. The energy of formation from the pure elements comes out at -0.234 eV per atom.


20.
Below is a relaxed structure of DyCdGa, with properties calculated at the PBE level.

Cell: 4.494 6.095 5.813 Å, 75.26 67.26 68.36°
Positions (direct):
Dy1 0.551 0.695 0.204
Dy2 0.449 0.305 0.796
Cd1 0.170 0.905 0.755
Cd2 0.830 0.095 0.245
Ga1 0.154 0.336 0.357
Ga2 0.846 0.664 0.643

Output
As for the space group: C2/m. The energy of formation from the pure elements comes out at -0.470 eV per atom.


21.
Below is a relaxed structure of DyCdGa, with properties calculated at the PBE level.

Cell: 7.249 7.249 4.408 Å, 90.00 90.00 120.00°
Positions (direct):
Dy1 0.423 0.423 0.500
Dy2 0.577 0.000 0.500
Dy3 0.000 0.577 0.500
Cd1 0.751 0.751 0.000
Cd2 0.249 0.000 0.000
Cd3 0.000 0.249 0.000
Ga1 0.667 0.333 0.000
Ga2 0.333 0.667 0.000
Ga3 0.000 0.000 0.500

Output
As for the space group: P-62m. The energy of formation from the pure elements comes out at -0.517 eV per atom.


22.
Below is a relaxed structure of DyCdGa, with properties calculated at the PBE level.

Cell: 3.543 4.683 4.683 Å, 120.00 90.00 90.00°
Positions (direct):
Cd1 0.167 0.333 0.667
Ga1 0.166 0.000 0.000
Dy1 0.667 0.667 0.333

Output
As for the space group: P3m1. The energy of formation from the pure elements comes out at -0.452 eV per atom.


Number 1: VASP energy -92.902 eV per cell. Number 2: VASP energy -48.254 eV per cell. Number 3: VASP energy -94.691 eV per cell. Number 4: VASP energy -93.377 eV per cell. Number 5: VASP energy -57.296 eV per cell. Number 6: VASP energy -78.708 eV per cell. Number 7: VASP energy -77.056 eV per cell. Number 8: VASP energy -47.483 eV per cell. Number 9: VASP energy -19.047 eV per cell. Number 10: VASP energy -18.614 eV per cell. Number 11: VASP energy -23.111 eV per cell. Number 12: VASP energy -85.558 eV per cell. Number 13: VASP energy -92.728 eV per cell. Number 14: VASP energy -28.371 eV per cell. Number 15: VASP energy -17.483 eV per cell. Number 16: VASP energy -18.629 eV per cell. Number 17: VASP energy -20.481 eV per cell. Number 18: VASP energy -68.674 eV per cell. Number 19: VASP energy -46.358 eV per cell. Number 20: VASP energy -19.907 eV per cell. Number 21: VASP energy -30.289 eV per cell. Number 22: VASP energy -9.899 eV per cell.